# 1
The following is a GGA-PBE calculation of an optimized crystal structure of Ba2SrY3O8, from the Alexandria database.

a = 7.0856 Å, b = 7.0856 Å, c = 7.3744 Å
α = 61.29°, β = 61.29°, γ = 60.00°
With the nearest neighbours (Å) after each atom.
Fractional coordinates of all 14 atoms:
1 O 0.7331 0.7331 0.8006  3 Y 2.39
2 O 0.2497 0.2497 0.8060  2 Y 2.29, 1 Ba 2.52
3 O 0.7516 0.7516 0.2038  2 Y 2.32, 1 Sr 2.42
4 O 0.7516 0.2931 0.2038  2 Y 2.32, 1 Sr 2.42
5 O 0.2931 0.7516 0.2038  2 Y 2.32, 1 Sr 2.42
6 O 0.2687 0.2687 0.1940  3 Y 2.36
7 Y 0.4995 0.9986 0.0025  6 O 2.29-2.39
8 Y 0.4995 0.4995 0.0025  6 O 2.29-2.39
9 O 0.6945 0.2497 0.8060  2 Y 2.29, 1 Ba 2.52
10 O 0.2497 0.6945 0.8060  2 Y 2.29, 1 Ba 2.52
11 Ba 0.4995 0.4995 0.5014  6 O 2.61-2.62
12 Sr 0.8795 0.8795 0.3615  4 O 2.42-2.69
13 Y 0.9986 0.4995 0.0025  6 O 2.29-2.39
14 Ba 0.1242 0.1242 0.6275  4 O 2.52-2.66

Properties
E_form (uncorrected): -2.93 eV per atom
VASP energy: -7.543 eV/atom

***

# 2
The following is a GGA-PBE calculation of an optimized crystal structure of InCuIr2, from the Alexandria database.

a = 3.9354 Å, b = 3.9354 Å, c = 9.4616 Å
α = 78.00°, β = 78.00°, γ = 90.00°
With the nearest neighbours (Å) after each atom.
Fractional coordinates of all 8 atoms:
1 Ir 0.1827 0.6250 0.2500  2 Ir 2.48, 2 Cu 2.58, 2 In 2.75
2 In 0.7500 0.2500 0.5000  4 Ir 2.75, 4 Cu 2.78
3 Cu 0.2500 0.7500 0.5000  4 Ir 2.58, 4 In 2.78
4 Ir 0.5673 0.1250 0.2500  2 Ir 2.48, 2 Cu 2.58, 2 In 2.75
5 Ir 0.8750 0.8173 0.7500  2 Ir 2.48, 2 Cu 2.58, 2 In 2.75
6 Cu 0.5000 0.5000 0.0000  4 Ir 2.58, 4 In 2.78
7 Ir 0.3750 0.4327 0.7500  2 Ir 2.48, 2 Cu 2.58, 2 In 2.75
8 In 0.0000 0.0000 0.0000  4 Ir 2.75, 4 Cu 2.78

Properties
Energy of formation from the pure elements: 0.422 eV/atom
VASP energy: -5.717 eV/atom

***

# 3
The following is a GGA-PBE calculation of an optimized crystal structure of ScMn2S4, from the Alexandria database.

a = 7.3566 Å, b = 7.3566 Å, c = 10.4507 Å
α = 90.00°, β = 90.00°, γ = 90.00°
With the nearest neighbours (Å) after each atom.
Fractional coordinates of all 28 atoms:
1 Mn 0.5000 0.7533 0.5000  6 S 2.47-2.50
2 Mn 0.7447 0.7447 0.8750  4 S 2.38-2.39
3 Mn 0.2553 0.7447 0.1250  4 S 2.38-2.39
4 S 0.5115 0.2611 0.2359  3 Mn 2.38-2.50, 1 Sc 2.58
5 S 0.2611 0.5115 0.5141  3 Mn 2.38-2.50, 1 Sc 2.58
6 S 0.4885 0.2611 0.7641  3 Mn 2.38-2.50, 1 Sc 2.58
7 Mn 0.7533 0.5000 0.2500  6 S 2.47-2.50
8 Sc 0.7440 0.0000 0.2500  6 S 2.58-2.59
9 S 0.7389 0.4885 0.0141  3 Mn 2.38-2.50, 1 Sc 2.58
10 S 0.7433 0.0154 0.0021  2 Mn 2.39-2.47, 2 Sc 2.59
11 S 0.9846 0.7433 0.2521  2 Mn 2.39-2.47, 2 Sc 2.59
12 S 0.2567 0.9846 0.5021  2 Mn 2.39-2.47, 2 Sc 2.59
13 Sc 0.0000 0.7440 0.5000  6 S 2.58-2.59
14 S 0.0154 0.7433 0.7479  2 Mn 2.39-2.47, 2 Sc 2.59
15 S 0.2567 0.0154 0.9979  2 Mn 2.39-2.47, 2 Sc 2.59
16 S 0.4885 0.7389 0.7359  3 Mn 2.38-2.50, 1 Sc 2.58
17 S 0.0154 0.2567 0.7521  2 Mn 2.39-2.47, 2 Sc 2.59
18 Mn 0.2467 0.5000 0.7500  6 S 2.47-2.50
19 S 0.7389 0.5115 0.4859  3 Mn 2.38-2.50, 1 Sc 2.58
20 Mn 0.7447 0.2553 0.6250  4 S 2.38-2.39
21 Mn 0.2553 0.2553 0.3750  4 S 2.38-2.39
22 S 0.7433 0.9846 0.4979  2 Mn 2.39-2.47, 2 Sc 2.59
23 S 0.9846 0.2567 0.2479  2 Mn 2.39-2.47, 2 Sc 2.59
24 Sc 0.0000 0.2560 0.0000  6 S 2.58-2.59
25 Sc 0.2560 0.0000 0.7500  6 S 2.58-2.59
26 Mn 0.5000 0.2467 0.0000  6 S 2.47-2.50
27 S 0.2611 0.4885 0.9859  3 Mn 2.38-2.50, 1 Sc 2.58
28 S 0.5115 0.7389 0.2641  3 Mn 2.38-2.50, 1 Sc 2.58

Properties
E_form (uncorrected): -1.01 eV per atom
VASP energy: -6.897 eV/atom

***

# 4
The following is a GGA-PBE calculation of an optimized crystal structure of BaCa2H, from the Alexandria database.

a = 6.1152 Å, b = 6.1152 Å, c = 6.1152 Å
α = 60.00°, β = 60.00°, γ = 60.00°
With the nearest neighbours (Å) after each atom.
Fractional coordinates of all 4 atoms:
1 Ca 0.7500 0.7500 0.7500  4 Ba 3.74, 4 H 3.74
2 Ba 0.5000 0.5000 0.5000  8 Ca 3.74
3 Ca 0.2500 0.2500 0.2500  4 Ba 3.74, 4 H 3.74
4 H 0.0000 0.0000 0.0000  8 Ca 3.74

Properties
VASP energy: -1.647 eV/atom
Distance to the lowest polymorph of the same formula: 866.4 meV/atom

***

# 5
The following is a GGA-PBE calculation of an optimized crystal structure of LaPaAl, from the Alexandria database.

a = 3.2262 Å, b = 3.2262 Å, c = 7.7033 Å
α = 102.09°, β = 102.09°, γ = 90.00°
With the nearest neighbours (Å) after each atom.
Fractional coordinates of all 3 atoms:
1 Al 0.6733 0.6733 0.3465  4 Pa 3.11, 4 Al 3.23, 4 La 3.31
2 Pa 0.3168 0.3168 0.6337  4 Al 3.11, 4 Pa 3.23
3 La 0.0099 0.0099 0.0198  4 La 3.23, 4 Al 3.31

Properties
Energy of formation from the pure elements: 0.017 eV/atom
VASP energy: -6.038 eV/atom
Distance to the lowest polymorph of the same formula: 0.0 meV/atom

***

# 6
The following is a GGA-PBE calculation of an optimized crystal structure of Ti2TeS, from the Alexandria database.

a = 3.6172 Å, b = 3.6172 Å, c = 6.8066 Å
α = 74.59°, β = 74.59°, γ = 60.00°
With the nearest neighbours (Å) after each atom.
Fractional coordinates of all 4 atoms:
1 Te 0.4974 0.4974 0.5079  6 Ti 2.86-2.96
2 Ti 0.0637 0.0637 0.8090  3 S 2.42
3 Ti 0.2718 0.2718 0.1846  3 S 2.41
4 S 0.6672 0.6672 0.9985  6 Ti 2.41-2.42

Properties
E_form (uncorrected): -0.92 eV per atom
VASP energy: -6.685 eV/atom
Distance to the lowest polymorph of the same formula: 28.2 meV/atom

***

# 7
The following is a GGA-PBE calculation of an optimized crystal structure of Ce2Th2NiGe4, from the Alexandria database.

a = 6.4831 Å, b = 6.4831 Å, c = 6.4831 Å
α = 100.46°, β = 114.16°, γ = 114.16°
With the nearest neighbours (Å) after each atom.
Fractional coordinates of all 9 atoms:
1 Ni 0.0000 0.0000 0.0000  4 Ge 2.35, 2 Ce 2.60
2 Ce 0.0000 0.6865 0.6865  1 Ni 2.60
3 Th 0.5000 0.2500 0.7500  8 Ge 3.24, 4 Ce 3.56
4 Ge 0.0000 0.2362 0.7638  1 Ni 2.35
5 Ce 0.0000 0.3135 0.3135  1 Ni 2.60
6 Th 0.5000 0.7500 0.2500  8 Ge 3.24, 4 Ce 3.56
7 Ge 0.0000 0.7638 0.2362  1 Ni 2.35
8 Ge 0.4723 0.2362 0.2362  1 Ni 2.35
9 Ge 0.5277 0.7638 0.7638  1 Ni 2.35

Properties
Energy of formation from the pure elements: -0.455 eV/atom
VASP energy: -6.117 eV/atom

***

# 8
The following is a GGA-PBE calculation of an optimized crystal structure of Cs2NiWI6, from the Alexandria database.

a = 8.0764 Å, b = 8.0764 Å, c = 8.0888 Å
α = 60.05°, β = 60.05°, γ = 90.00°
With the nearest neighbours (Å) after each atom.
Fractional coordinates of all 10 atoms:
1 I 0.2483 0.2483 0.5034  1 W 2.84, 1 Ni 2.88
2 I 0.2492 0.2492 0.0000  1 W 2.85, 1 Ni 2.86
3 Cs 0.2500 0.7500 0.5000  12 I 4.04
4 I 0.7517 0.7517 0.4966  1 W 2.84, 1 Ni 2.88
5 Cs 0.7500 0.2500 0.5000  12 I 4.04
6 W 0.0000 0.0000 0.0000  6 I 2.84-2.85
7 I 0.7508 0.7508 0.0000  1 W 2.85, 1 Ni 2.86
8 I 0.2492 0.7508 0.0000  1 W 2.85, 1 Ni 2.86
9 I 0.7508 0.2492 0.0000  1 W 2.85, 1 Ni 2.86
10 Ni 0.5000 0.5000 0.0000  6 I 2.86-2.88

Properties
E_form (uncorrected): -0.43 eV per atom
VASP energy: -3.406 eV/atom